A relaxed Cs2MgAgCl6 crystal, computed with GGA-PBE.

Cell: 9.4853 9.4853 7.1098 Å, 103.85 103.85 86.83°
Positions (direct):
Cs1 0.7846 0.6694 0.5190
Cs2 0.3306 0.2154 0.9810
Cs3 0.6694 0.7846 0.0190
Cs4 0.2154 0.3306 0.4810
Cl1 0.6090 0.0522 0.7826
Cl2 0.3292 0.5886 0.9689
Cl3 0.6708 0.4114 0.0311
Cl4 0.9478 0.3910 0.7174
Cl5 0.5886 0.3292 0.4689
Cl6 0.3910 0.9478 0.2174
Cl7 0.8221 0.0464 0.4394
Cl8 0.0522 0.6090 0.2826
Cl9 0.1779 0.9536 0.5606
Cl10 0.4114 0.6708 0.5311
Cl11 0.0464 0.8221 0.9394
Cl12 0.9536 0.1779 0.0606
Mg1 0.7717 0.2283 0.7500
Mg2 0.2283 0.7717 0.2500
Ag1 0.2383 0.7617 0.7500
Ag2 0.7617 0.2383 0.2500

Values from the calculation:
total energy: -61.99 eV for the cell shown

---

A relaxed GdGaSi crystal, computed with GGA-PBE.

Cell: 4.1330 4.1330 4.0586 Å, 90.00 90.00 120.00°
Positions (direct):
Si1 0.0000 0.0000 0.1668
Ga1 0.3333 0.6667 0.1665
Gd1 0.6667 0.3333 0.6667

Values from the calculation:
total energy: -15.07 eV for the cell shown
magnetization: 0.000 μB per atom

---

A relaxed GaAg15 crystal, computed with GGA-PBE.

Cell: 8.3266 2.9208 37.3448 Å, 90.00 90.00 90.00°
Positions (direct):
Ag1 0.1249 0.2500 0.0591
Ag2 0.3750 0.7500 0.7830
Ag3 0.3750 0.7500 0.9408
Ag4 0.3750 0.7500 0.8617
Ag5 0.6283 0.2500 0.7410
Ag6 0.1246 0.2500 0.8220
Ag7 0.6250 0.2500 0.2170
Ag8 0.8748 0.7500 0.0197
Ag9 0.6251 0.2500 0.2939
Ag10 0.8749 0.7500 0.0987
Ag11 0.6254 0.2500 0.8220
Ag12 0.8750 0.7500 0.8621
Ag13 0.6248 0.2500 0.9803
Ag14 0.3717 0.7500 0.2590
Ag15 0.3752 0.7500 0.0197
Ag16 0.1252 0.2500 0.9803
Ag17 0.8751 0.7500 0.9409
Ag18 0.3751 0.7500 0.0988
Ag19 0.3749 0.7500 0.7061
Ag20 0.1251 0.2500 0.9013
Ag21 0.1251 0.2500 0.2167
Ag22 0.6250 0.2500 0.0592
Ag23 0.8749 0.7500 0.7833
Ag24 0.1219 0.2500 0.7412
Ag25 0.8781 0.7500 0.2588
Ag26 0.6251 0.2500 0.1383
Ag27 0.8754 0.7500 0.1780
Ag28 0.1250 0.2500 0.1379
Ag29 0.6249 0.2500 0.9012
Ag30 0.3746 0.7500 0.1780
Ga1 0.1250 0.2500 0.2927
Ga2 0.8750 0.7500 0.7073

Values from the calculation:
total energy: -88.76 eV for the cell shown
E above lowest polymorph: 22 meV/atom

---

A relaxed Er2TmCo9 crystal, computed with GGA-PBE.

Cell: 8.5269 8.5269 8.5269 Å, 33.51 33.51 33.51°
Last column: magnetic moment on the atom in μB.
Positions (direct):
Co1 0.0788 0.5829 0.5829  1.22
Co2 0.6654 0.6654 0.6654  1.47
Co3 0.5829 0.0788 0.5829  1.37
Co4 0.9212 0.4171 0.4171  1.22
Co5 0.4171 0.9212 0.4171  1.37
Co6 0.5000 0.5000 0.5000  1.21
Co7 0.4171 0.4171 0.9212  1.27
Co8 0.3346 0.3346 0.3346  1.47
Co9 0.5829 0.5829 0.0788  1.27
Er1 0.1397 0.1397 0.1397  -0.42
Er2 0.8603 0.8603 0.8603  -0.42
Tm1 0.0000 0.0000 0.0000  -0.33

Values from the calculation:
calculated formation energy: -0.2053 eV per atom
total energy: -80.02 eV for the cell shown
magnetization: 0.883 μB per atom

---

A relaxed Co2Re13 crystal, computed with GGA-PBE.

Cell: 9.4819 9.4819 4.9182 Å, 90.00 90.00 90.00°
Last column: magnetic moment on the atom in μB.
Positions (direct):
Re1 0.3196 0.6804 0.7531  0.00
Re2 0.8654 0.5355 0.0000  0.04
Re3 0.5676 0.7590 0.5000  -0.01
Re4 0.8196 0.8196 0.7469  0.00
Re5 0.0000 0.0000 0.0000  -0.08
Re6 0.6804 0.3196 0.7531  -0.01
Re7 0.4645 0.1346 0.0000  0.05
Re8 0.2590 0.9324 0.0000  0.00
Re9 0.6804 0.3196 0.2469  0.00
Re10 0.5000 0.5000 0.5000  -0.06
Re11 0.2410 0.4324 0.5000  -0.01
Re12 0.3196 0.6804 0.2469  -0.01
Re13 0.7410 0.0676 0.0000  0.00
Re14 0.1346 0.4645 0.0000  0.04
Re15 0.9645 0.3654 0.5000  0.04
Re16 0.8196 0.8196 0.2531  0.00
Re17 0.1804 0.1804 0.2531  0.00
Re18 0.4324 0.2410 0.5000  -0.01
Re19 0.6346 0.0355 0.5000  0.05
Re20 0.3654 0.9645 0.5000  0.05
Re21 0.1804 0.1804 0.7469  0.00
Re22 0.0676 0.7410 0.0000  -0.01
Re23 0.0355 0.6346 0.5000  0.04
Re24 0.9324 0.2590 0.0000  -0.01
Re25 0.7590 0.5676 0.5000  -0.01
Re26 0.5355 0.8654 0.0000  0.05
Co1 0.0900 0.9100 0.5000  1.34
Co2 0.4100 0.4100 0.0000  1.31
Co3 0.5900 0.5900 0.0000  1.31
Co4 0.9100 0.0900 0.5000  1.34

Values from the calculation:
calculated formation energy: 0.1607 eV per atom
total energy: -346.60 eV for the cell shown
magnetization: 0.178 μB per atom

---

A relaxed NiB3 crystal, computed with GGA-PBE.

Cell: 3.7906 3.7906 3.7906 Å, 133.27 133.27 68.24°
Positions (direct):
B1 0.7500 0.2500 0.5000
B2 0.5000 0.5000 0.0000
B3 0.2500 0.7500 0.5000
Ni1 0.0000 0.0000 0.0000

Values from the calculation:
total energy: -22.48 eV for the cell shown
E above lowest polymorph: 172 meV/atom
magnetization: 0.001 μB per atom

---

A relaxed ErGeSb crystal, computed with GGA-PBE.

Cell: 4.9783 4.9783 4.9783 Å, 60.00 60.00 60.00°
Positions (direct):
Er1 0.2500 0.2500 0.2500
Sb1 0.0000 0.0000 0.0000
Ge1 0.7500 0.7500 0.7500

Values from the calculation:
total energy: -13.63 eV for the cell shown
magnetization: 0.000 μB per atom

---

A relaxed HoHf2C3 crystal, computed with GGA-PBE.

Cell: 3.3569 3.3569 8.3142 Å, 90.00 90.00 120.00°
Positions (direct):
Hf1 0.6667 0.3333 0.1620
Hf2 0.3333 0.6667 0.8380
C1 0.6667 0.3333 0.6865
C2 0.0000 0.0000 0.0000
C3 0.3333 0.6667 0.3135
Ho1 0.0000 0.0000 0.5000

Values from the calculation:
total energy: -55.92 eV for the cell shown
magnetization: 0.000 μB per atom

---

A relaxed LuFeBiIr crystal, computed with GGA-PBE.

Cell: 4.7310 4.7310 4.7310 Å, 60.00 60.00 60.00°
Positions (direct):
Fe1 0.7500 0.7500 0.7500
Bi1 0.0000 0.0000 0.0000
Ir1 0.2500 0.2500 0.2500
Lu1 0.5000 0.5000 0.5000

Values from the calculation:
total energy: -26.05 eV for the cell shown
E above lowest polymorph: 0 meV/atom
magnetization: 0.516 μB per atom

---

A relaxed Cs2Cd5Sn3 crystal, computed with GGA-PBE.

Cell: 12.6145 12.6145 12.6145 Å, 156.39 156.39 33.64°
Positions (direct):
Sn1 0.0000 0.0000 0.0000
Sn2 0.6363 0.6363 0.0000
Sn3 0.3637 0.3637 0.0000
Cd1 0.0728 0.5728 0.5000
Cd2 0.5728 0.0728 0.5000
Cd3 0.9272 0.4272 0.5000
Cd4 0.5000 0.5000 0.0000
Cd5 0.4272 0.9272 0.5000
Cs1 0.1940 0.1940 0.0000
Cs2 0.8060 0.8060 0.0000

Values from the calculation:
total energy: -19.19 eV for the cell shown

---

A relaxed PuSnAs crystal, computed with GGA-PBE.

Cell: 4.9361 4.9361 4.9361 Å, 60.00 60.00 60.00°
Last column: magnetic moment on the atom in μB.
Positions (direct):
Sn1 0.0000 0.0000 0.0000  0.07
As1 0.5000 0.5000 0.5000  -0.03
Pu1 0.2500 0.2500 0.2500  5.25

Values from the calculation:
total energy: -23.30 eV for the cell shown
magnetization: 1.814 μB per atom

---

A relaxed NdGd2Bi3 crystal, computed with GGA-PBE.

Cell: 4.5166 4.5166 11.1060 Å, 90.00 90.00 120.00°
Positions (direct):
Gd1 0.6667 0.3333 0.1635
Gd2 0.3333 0.6667 0.8365
Nd1 0.0000 0.0000 0.5000
Bi1 0.6667 0.3333 0.6718
Bi2 0.0000 0.0000 0.0000
Bi3 0.3333 0.6667 0.3282

Values from the calculation:
total energy: -31.80 eV for the cell shown
magnetization: 0.001 μB per atom